The following is a DFT calculation (PBE with a Hubbard U) of Li4MnSnW2O12 after structural relaxation.

Cell: 5.144 5.433 7.503 Å, 94.31 90.02 90.01°
Positions (direct):
Li 0.000 0.000 0.000
Li 0.001 0.005 0.473
Li 0.494 0.516 0.474
Li 0.495 0.525 0.992
Mn 0.495 0.946 0.266
Sn 0.998 0.444 0.768
W 0.501 0.943 0.766
W 0.994 0.442 0.269
O 0.125 0.416 0.030
O 0.180 0.103 0.714
O 0.200 0.732 0.335
O 0.292 0.232 0.338
O 0.335 0.620 0.715
O 0.375 0.919 0.024
O 0.618 0.933 0.524
O 0.674 0.244 0.844
O 0.690 0.628 0.217
O 0.802 0.126 0.217
O 0.803 0.760 0.845
O 0.868 0.428 0.512

Output
final energy = -6.548 eV/atom
space group = P1, No. 1

***

The following is a DFT calculation (PBE with a Hubbard U) of Sr3Li2MnO6 after structural relaxation.

Cell: 5.672 5.672 6.243 Å, 90.00 90.00 120.00°
Positions (direct):
Sr 0.000 0.000 0.000
Sr 0.333 0.667 0.625
Sr 0.667 0.333 0.375
Li 0.333 0.667 0.207
Li 0.667 0.333 0.793
Mn 0.000 0.000 0.500
O 0.160 0.321 0.313
O 0.160 0.840 0.313
O 0.321 0.160 0.687
O 0.679 0.840 0.313
O 0.840 0.160 0.687
O 0.840 0.679 0.687

Output
final energy = -5.960 eV/atom
space group = P-3m1, No. 164

***

The following is a DFT calculation (PBE with a Hubbard U) of SrLiMnO4 after structural relaxation.

Cell: 5.454 5.454 5.454 Å, 119.81 119.81 90.33°
Positions (direct):
Sr 0.000 0.000 0.000
Li 0.500 0.500 0.000
Mn 0.750 0.250 0.500
O 0.090 0.518 0.865
O 0.482 0.347 0.572
O 0.653 0.225 0.135
O 0.775 0.910 0.428

Output
final energy = -6.206 eV/atom
space group = I-4, No. 82